# 1
Entry from OQMD via LeMat-Bulk: a relaxed structure of PrCu2SiP (PBE).

Magnetic moment, Bohr magnetons per cell: 0.0
E, eV/atom: -5.231
Symmetry: I4mm (107)
Density, kg/m³: 6643

abc: 4.077 4.077 9.839
angles: 90.00 90.00 90.00
Fractional positions:
1 Pr 0.000 0.000 0.000
2 Pr 0.500 0.500 0.500
3 Cu 0.000 0.500 0.251
4 Cu 0.000 0.500 0.751
5 Cu 0.500 0.000 0.251
6 Cu 0.500 0.000 0.751
7 Si 0.000 0.000 0.628
8 Si 0.500 0.500 0.128
9 P 0.000 0.000 0.390
10 P 0.500 0.500 0.890

=====

# 2
Entry from OQMD via LeMat-Bulk: a relaxed structure of PrSmCu2P4 (PBE).

Magnetic moment, Bohr magnetons per cell: 0.0
E, eV/atom: -5.666
Symmetry: P4mm (99)
Density, kg/m³: 6219

abc: 3.800 3.800 10.028
angles: 90.00 90.00 90.00
Fractional positions:
1 Pr 0.000 0.000 0.000
2 Sm 0.500 0.500 0.467
3 Cu 0.000 0.500 0.730
4 Cu 0.500 0.000 0.730
5 P 0.000 0.000 0.583
6 P 0.000 0.500 0.237
7 P 0.500 0.000 0.237
8 P 0.500 0.500 0.876

=====

# 3
Entry from OQMD via LeMat-Bulk: a relaxed structure of PrTaCu2P4 (PBE).

Magnetic moment, Bohr magnetons per cell: 0.0
E, eV/atom: -6.246
Symmetry: P4mm (99)
Density, kg/m³: 7355

abc: 3.679 3.679 9.556
angles: 90.00 90.00 90.00
Fractional positions:
1 Pr 0.000 0.000 0.000
2 Ta 0.500 0.500 0.559
3 Cu 0.000 0.500 0.294
4 Cu 0.500 0.000 0.294
5 P 0.000 0.000 0.460
6 P 0.000 0.500 0.748
7 P 0.500 0.000 0.748
8 P 0.500 0.500 0.135

=====

# 4
Entry from OQMD via LeMat-Bulk: a relaxed structure of CuP5Pt3 (PBE).

Magnetic moment, Bohr magnetons per cell: 0.0
E, eV/atom: -5.349
Symmetry: P6/mmm (191)
Density, kg/m³: 7260

abc: 6.687 6.687 4.747
angles: 90.00 90.00 120.00
Fractional positions:
1 Cu 0.000 0.000 0.000
2 P 0.000 0.000 0.500
3 P 0.333 0.667 0.220
4 P 0.333 0.667 0.780
5 P 0.667 0.333 0.220
6 P 0.667 0.333 0.780
7 Pt 0.000 0.500 0.500
8 Pt 0.500 0.000 0.500
9 Pt 0.500 0.500 0.500